1.
Ba3HfPt2O9: relaxed, PBE.

Unit cell a=5.8265 b=5.8265 c=7.1682 alpha=90.00 beta=90.00 gamma=120.00
Fractional coordinates of all 15 atoms:
O  0.6640  0.8320  0.3331
O  0.1680  0.8320  0.3331
O  0.0000  0.5000  0.0000
O  0.5000  0.0000  0.0000
O  0.8320  0.1680  0.6669
O  0.5000  0.5000  0.0000
O  0.1680  0.3360  0.3331
O  0.8320  0.6640  0.6669
O  0.3360  0.1680  0.6669
Pt  0.3333  0.6667  0.1716
Pt  0.6667  0.3333  0.8284
Hf  0.0000  0.0000  0.5000
Ba  0.0000  0.0000  0.0000
Ba  0.3333  0.6667  0.6828
Ba  0.6667  0.3333  0.3172

- ΔE_f (raw) (eV/atom) = -2.021
- E_tot (eV for the cell shown) = -102.7

2.
SrSc2Ag: relaxed, PBE.

Unit cell a=6.3820 b=6.3820 c=6.3820 alpha=139.17 beta=139.17 gamma=59.11
Last column: magnetic moment on the atom in μB.
Fractional coordinates of all 4 atoms:
Sr  0.2500  0.7500  0.5000  -0.06
Sc  0.5000  0.5000  0.0000  -0.42
Sc  0.0000  0.0000  0.0000  -0.42
Ag  0.7500  0.2500  0.5000  -0.01

- E_tot (eV for the cell shown) = -16.3
- ΔH_f (0 K) (meV per atom) = 233
- energy relative to the lowest polymorph listed for this composition (meV/atom) = 237

3.
Rb3Nd3RuO8: relaxed, PBE.

Unit cell a=7.0581 b=7.0587 c=7.7653 alpha=117.04 beta=90.00 gamma=120.00
Last column: magnetic moment on the atom in μB.
Fractional coordinates of all 15 atoms:
O  0.7270  0.4540  0.6809  0.00
O  0.2416  0.0381  0.3347  0.07
O  0.7965  0.0381  0.3347  0.07
O  0.2036  0.4073  0.6654  0.07
O  0.7964  0.5927  0.3346  0.07
O  0.2730  0.5460  0.3191  0.00
O  0.7584  0.9619  0.6653  0.07
O  0.2035  0.9619  0.6653  0.07
Nd  0.5000  0.0000  0.5000  0.00
Nd  0.5000  0.5000  0.5000  0.00
Nd  0.0000  0.5000  0.5000  0.00
Ru  0.0000  0.0000  0.5000  1.44
Rb  0.0000  0.0000  0.0000  0.00
Rb  0.0000  0.5000  0.0000  0.00
Rb  0.5000  0.5000  0.0000  0.00

- ΔE_f (raw) (eV/atom) = -2.191
- E_tot (eV for the cell shown) = -99.0

4.
NaAc2Sn5: relaxed, PBE.

Unit cell a=7.2071 b=7.2071 c=6.9428 alpha=121.24 beta=121.24 gamma=90.02
Fractional coordinates of all 8 atoms:
Sn  0.2565  0.7012  0.9577
Sn  0.7012  0.2566  0.9578
Sn  0.2578  0.2578  0.9585
Sn  0.7205  0.7204  0.4414
Sn  0.7007  0.7007  0.9581
Na  0.1758  0.1759  0.3515
Ac  0.7324  0.2319  0.4645
Ac  0.2320  0.7324  0.4645

- E_tot (eV for the cell shown) = -33.4
- ΔH_f (0 K) (meV per atom) = -476

5.
KNaNb3: relaxed, PBE.

Unit cell a=4.7840 b=4.7840 c=4.7840 alpha=90.00 beta=90.00 gamma=90.00
Fractional coordinates of all 5 atoms:
Nb  0.5000  0.0000  0.0000
Nb  0.0000  0.0000  0.5000
Nb  0.0000  0.5000  0.0000
K  0.0000  0.0000  0.0000
Na  0.5000  0.5000  0.5000

- E_tot (eV for the cell shown) = -19.1
- ΔH_f (0 K) (meV per atom) = 2711
- energy relative to the lowest polymorph listed for this composition (meV/atom) = 303

6.
LaTlCl3: relaxed, PBE.

Unit cell a=5.6270 b=5.6270 c=5.6270 alpha=90.00 beta=90.00 gamma=90.00
Last column: magnetic moment on the atom in μB.
Fractional coordinates of all 5 atoms:
Tl  0.5000  0.5000  0.5000  0.10
Cl  0.5000  0.0000  0.0000  -0.01
Cl  0.0000  0.5000  0.0000  0.00
Cl  0.0000  0.0000  0.5000  0.00
La  0.0000  0.0000  0.0000  0.23

- ΔE_f (raw) (eV/atom) = -1.588
- E_tot (eV for the cell shown) = -20.8

Please write out number 1 again, unchanged.
Ba3HfPt2O9: relaxed, PBE.

Unit cell a=5.8265 b=5.8265 c=7.1682 alpha=90.00 beta=90.00 gamma=120.00
Fractional coordinates of all 15 atoms:
O  0.6640  0.8320  0.3331
O  0.1680  0.8320  0.3331
O  0.0000  0.5000  0.0000
O  0.5000  0.0000  0.0000
O  0.8320  0.1680  0.6669
O  0.5000  0.5000  0.0000
O  0.1680  0.3360  0.3331
O  0.8320  0.6640  0.6669
O  0.3360  0.1680  0.6669
Pt  0.3333  0.6667  0.1716
Pt  0.6667  0.3333  0.8284
Hf  0.0000  0.0000  0.5000
Ba  0.0000  0.0000  0.0000
Ba  0.3333  0.6667  0.6828
Ba  0.6667  0.3333  0.3172

- ΔE_f (raw) (eV/atom) = -2.021
- E_tot (eV for the cell shown) = -102.7